Entry 1:
This record from Alexandria describes a relaxed structure of SmScCo. The functional is PBE.

Structure (POSCAR):
```
SmScCo
1.0
3.830 0.000 0.000
-1.915 3.317 0.000
0.000 0.000 5.772
Sm Sc Co
1 1 1
direct
0.000 0.000 0.000
0.667 0.333 0.476
0.333 0.667 0.272
```

DFT formation energy: 0.01 kcal/mol of atoms
M_tot: 0.00 μB/cell
ΔE to the lowest computed polymorph: 165 meV per atom
E: -6.052 eV/atom
V: 73.3 Å³/cell
symmetry: P3m1

Entry 2:
This record from Alexandria describes a relaxed structure of PdC2I2. The functional is PBE.

Structure (POSCAR):
```
PdC2I2
1.0
4.135 0.000 0.000
0.000 4.135 0.000
0.000 0.000 10.972
Pd C I
2 4 4
direct
0.000 0.000 0.000
0.500 0.500 0.500
0.000 0.500 0.250
0.000 0.500 0.750
0.500 0.000 0.250
0.500 0.000 0.750
0.000 0.000 0.340
0.000 0.000 0.660
0.500 0.500 0.160
0.500 0.500 0.840
```

M_tot: 0.00 μB/cell
ΔE to the lowest computed polymorph: 122 meV per atom
E: -3.053 eV/atom
V: 187.6 Å³/cell
energy relative to the elements, uncorrected: 11.48 eV per formula unit
symmetry: I4/mmm

Entry 3:
This record from Alexandria describes a relaxed structure of Ce6PmIr3. The functional is PBE.

Structure (POSCAR):
```
Ce6PmIr3
1.0
4.925 -6.039 0.000
4.925 6.039 0.000
0.000 0.000 8.460
Ce Pm Ir
12 2 6
direct
0.033 0.367 0.657
0.043 0.957 0.500
0.202 0.798 0.781
0.232 0.444 0.043
0.367 0.033 0.157
0.444 0.232 0.543
0.556 0.768 0.043
0.633 0.967 0.657
0.768 0.556 0.543
0.798 0.202 0.281
0.957 0.043 0.000
0.967 0.633 0.157
0.349 0.651 0.421
0.651 0.349 0.921
0.170 0.264 0.335
0.264 0.170 0.835
0.434 0.566 0.744
0.566 0.434 0.244
0.736 0.830 0.335
0.830 0.736 0.835
```

DFT formation energy: -9.92 kcal/mol of atoms
M_tot: 5.01 μB/cell
E: -7.124 eV/atom
V: 503.2 Å³/cell
symmetry: Cmc2_1

Entry 4:
This record from Alexandria describes a relaxed structure of Tb3UTl4Te8. The functional is PBE.

Structure (POSCAR):
```
Tb3UTl4Te8
1.0
4.462 2.576 8.219
-4.462 2.576 8.219
0.000 -5.153 8.219
Tb U Tl Te
3 1 4 8
direct
0.000 0.500 0.500
0.500 0.000 0.500
0.500 0.500 0.000
0.000 0.000 0.000
0.000 0.000 0.500
0.000 0.500 0.000
0.500 0.000 0.000
0.500 0.500 0.500
0.240 0.240 0.736
0.240 0.736 0.240
0.262 0.262 0.262
0.264 0.760 0.760
0.736 0.240 0.240
0.738 0.738 0.738
0.760 0.264 0.760
0.760 0.760 0.264
```

M_tot: 3.03 μB/cell
E: -4.653 eV/atom
V: 567.0 Å³/cell
energy relative to the elements, uncorrected: -14.67 eV per formula unit
symmetry: R-3m

Entry 5:
This record from Alexandria describes a relaxed structure of TeWI2. The functional is PBE.

Structure (POSCAR):
```
TeWI2
1.0
7.331 0.000 0.000
0.000 7.331 0.000
0.000 0.000 7.331
Te W I
4 4 8
direct
0.000 0.000 0.000
0.000 0.500 0.500
0.500 0.000 0.500
0.500 0.500 0.000
0.000 0.000 0.500
0.000 0.500 0.000
0.500 0.000 0.000
0.500 0.500 0.500
0.250 0.250 0.250
0.250 0.250 0.750
0.250 0.750 0.250
0.250 0.750 0.750
0.750 0.250 0.250
0.750 0.250 0.750
0.750 0.750 0.250
0.750 0.750 0.750
```

M_tot: 0.00 μB/cell
ΔE to the lowest computed polymorph: 296 meV per atom
E: -3.379 eV/atom
V: 394.1 Å³/cell
energy relative to the elements, uncorrected: 5.68 eV per formula unit
symmetry: Fm-3m

Entry 6:
This record from Alexandria describes a relaxed structure of CuReTc2. The functional is PBE.

Structure (POSCAR):
```
CuReTc2
1.0
2.734 0.000 0.000
-1.367 2.368 0.000
0.000 0.000 26.593
Cu Re Tc
3 3 6
direct
0.000 0.000 0.000
0.333 0.667 0.667
0.667 0.333 0.333
0.000 0.000 0.500
0.333 0.667 0.167
0.667 0.333 0.833
0.000 0.000 0.250
0.000 0.000 0.750
0.333 0.667 0.417
0.333 0.667 0.917
0.667 0.333 0.083
0.667 0.333 0.583
```

DFT formation energy: 3.36 kcal/mol of atoms
M_tot: 0.00 μB/cell
ΔE to the lowest computed polymorph: 1 meV per atom
E: -9.173 eV/atom
V: 172.2 Å³/cell
symmetry: R-3m

Entry 7:
This record from Alexandria describes a relaxed structure of MnCrTeI2. The functional is PBE.

Structure (POSCAR):
```
MnCrTeI2
1.0
5.522 0.000 0.000
0.000 5.522 0.000
0.000 0.000 5.429
Mn Cr Te I
1 1 1 2
direct
0.000 0.000 0.000
0.500 0.500 0.500
0.000 0.000 0.500
0.000 0.500 0.000
0.500 0.000 0.000
```

M_tot: 9.06 μB/cell
ΔE to the lowest computed polymorph: 14 meV per atom
E: -4.561 eV/atom
V: 165.5 Å³/cell
energy relative to the elements, uncorrected: 2.23 eV per formula unit
symmetry: P4/mmm

Entry 8:
This record from Alexandria describes a relaxed structure of Al2SbMo. The functional is PBE.

Structure (POSCAR):
```
Al2SbMo
1.0
3.512 0.000 0.000
0.000 3.512 0.000
0.000 0.000 5.613
Al Sb Mo
2 1 1
direct
0.000 0.000 0.226
0.000 0.000 0.774
0.500 0.500 0.500
0.500 0.500 0.000
```

M_tot: 0.00 μB/cell
E: -5.606 eV/atom
V: 69.2 Å³/cell
energy relative to the elements, uncorrected: 0.01 eV per formula unit
symmetry: P4/mmm

Entry 9:
This record from Alexandria describes a relaxed structure of PbSe2Br. The functional is PBE.

Structure (POSCAR):
```
PbSe2Br
1.0
4.166 0.000 0.000
0.000 4.636 0.000
0.000 0.000 12.098
Pb Se Br
2 4 2
direct
0.000 0.000 0.000
0.500 0.500 0.000
0.000 0.500 0.197
0.000 0.500 0.803
0.500 0.000 0.197
0.500 0.000 0.803
0.000 0.000 0.500
0.500 0.500 0.500
```

M_tot: 0.00 μB/cell
ΔE to the lowest computed polymorph: 560 meV per atom
E: -2.863 eV/atom
V: 233.7 Å³/cell
energy relative to the elements, uncorrected: 0.90 eV per formula unit
symmetry: Cmmm

Entry 10:
This record from Alexandria describes a relaxed structure of Nd2Sm3Er. The functional is PBE.

Structure (POSCAR):
```
Nd2Sm3Er
1.0
5.195 -5.785 0.000
5.195 5.785 0.000
-0.032 0.000 6.771
Nd Sm Er
4 6 2
direct
0.068 0.599 0.752
0.401 0.932 0.748
0.599 0.068 0.252
0.932 0.401 0.248
0.264 0.736 0.250
0.330 0.332 0.498
0.332 0.330 0.998
0.668 0.670 0.002
0.670 0.668 0.502
0.736 0.264 0.750
0.000 0.000 0.000
0.000 0.000 0.500
```

DFT formation energy: 4.07 kcal/mol of atoms
M_tot: 0.00 μB/cell
ΔE to the lowest computed polymorph: 176 meV per atom
E: -4.533 eV/atom
V: 407.0 Å³/cell
symmetry: C2/c

Entry 11:
This record from Alexandria describes a relaxed structure of Ba2Zn3AgGe4. The functional is PBE.

Structure (POSCAR):
```
Ba2Zn3AgGe4
1.0
4.575 0.000 0.000
0.000 4.575 0.000
0.000 0.000 10.821
Ba Zn Ag Ge
2 3 1 4
direct
0.000 0.500 0.249
0.500 0.000 0.751
0.000 0.000 0.000
0.000 0.500 0.629
0.500 0.000 0.371
0.500 0.500 0.000
0.000 0.000 0.500
0.000 0.500 0.869
0.500 0.000 0.131
0.500 0.500 0.500
```

DFT formation energy: -8.12 kcal/mol of atoms
M_tot: 0.00 μB/cell
E: -3.251 eV/atom
V: 226.5 Å³/cell
symmetry: P-4m2

Entry 12:
This record from Alexandria describes a relaxed structure of NaTaO3. The functional is PBE.

Structure (POSCAR):
```
NaTaO3
1.0
5.584 0.000 0.000
0.000 7.869 0.000
0.000 0.000 5.528
Na Ta O
4 4 12
direct
0.020 0.250 0.003
0.480 0.750 0.503
0.520 0.250 0.497
0.980 0.750 0.997
0.000 0.000 0.500
0.000 0.500 0.500
0.500 0.000 0.000
0.500 0.500 0.000
0.011 0.750 0.438
0.216 0.532 0.785
0.216 0.968 0.785
0.284 0.032 0.285
0.284 0.468 0.285
0.489 0.250 0.938
0.511 0.750 0.062
0.716 0.532 0.715
0.716 0.968 0.715
0.784 0.032 0.215
0.784 0.468 0.215
0.989 0.250 0.562
```

M_tot: 0.00 μB/cell
E: -8.261 eV/atom
V: 242.9 Å³/cell
energy relative to the elements, uncorrected: -13.26 eV per formula unit
symmetry: Pnma

Entry 13:
This record from Alexandria describes a relaxed structure of TaNiOs. The functional is PBE.

Structure (POSCAR):
```
TaNiOs
1.0
-4.284 5.284 2.946
4.284 -5.284 2.946
4.284 5.284 -2.946
Ta Ni Os
6 6 6
direct
0.176 0.001 0.177
0.176 0.499 0.674
0.514 0.315 0.699
0.617 0.815 0.301
0.824 0.501 0.326
0.824 0.999 0.823
0.281 0.445 0.960
0.281 0.821 0.336
0.485 0.321 0.040
0.485 0.945 0.664
0.743 0.243 0.500
0.743 0.743 0.000
0.034 0.287 0.247
0.040 0.787 0.753
0.044 0.029 0.515
0.487 0.956 0.030
0.514 0.529 0.485
0.926 0.456 0.970
```

DFT formation energy: -0.38 kcal/mol of atoms
M_tot: 0.00 μB/cell
ΔE to the lowest computed polymorph: 326 meV per atom
E: -9.638 eV/atom
V: 266.8 Å³/cell
symmetry: Ima2